# 1
This record from the Alexandria database describes crystalline Ca2SiRhO at its relaxed geometry. The functional is PBE.

Summary:
E = -4.47 eV/atom
uncorrected formation energy = -0.126 eV/atom

Cell: 5.5363 5.5363 4.2459 Å, 90.00 90.00 90.00°
Space group P4/mmm (No. 123)
Inequivalent atoms, fractional coordinates:
1 Ca 0.0000 0.5000 0.0000 x2
2 Si 0.0000 0.0000 0.0000 x1
3 Rh 0.0000 0.0000 0.5000 x1
4 O 0.5000 0.5000 0.5000 x1



# 2
This record from the Alexandria database describes crystalline CaSm2RhO6 at its relaxed geometry. The functional is PBE.

Summary:
E = -7.37 eV/atom
uncorrected formation energy = -2.512 eV/atom

Cell: 5.5667 5.9250 9.7697 Å, 90.00 124.12 90.00°
Space group P2_1/c (No. 14)
Inequivalent atoms, fractional coordinates:
1 Ca 0.0000 0.0000 0.0000 x2
2 Sm 0.2714 0.0673 0.7478 x4
3 Rh 0.5000 0.0000 0.5000 x2
4 O 0.1378 0.0574 0.2688 x4
5 O 0.2670 0.6826 0.0615 x4
6 O 0.4003 0.2110 0.0732 x4



# 3
This record from the Alexandria database describes crystalline SrCa2RhO6 at its relaxed geometry. The functional is PBE.

Summary:
E = -6.22 eV/atom
uncorrected formation energy = -1.944 eV/atom

Cell: 5.6141 6.0833 9.9098 Å, 90.00 123.77 90.00°
Space group P2_1/c (No. 14)
Inequivalent atoms, fractional coordinates:
1 Sr 0.0000 0.0000 0.0000 x2
2 Ca 0.2171 0.0492 0.7269 x4
3 Rh 0.5000 0.0000 0.5000 x2
4 O 0.1714 0.1617 0.4641 x4
5 O 0.2483 0.7375 0.4036 x4
6 O 0.4081 0.0907 0.2838 x4



# 4
This record from the Alexandria database describes crystalline SrCa2Rh3O8 at its relaxed geometry. The functional is PBE.

Summary:
E = -6.48 eV/atom
uncorrected formation energy = -1.668 eV/atom

Cell: 6.5088 6.5088 15.9187 Å, 90.00 90.00 120.00°
Space group R3m (No. 160, hexagonal axes)
Inequivalent atoms, fractional coordinates:
1 Sr 0.0000 0.0000 0.0000 x3
2 Ca 0.0000 0.0000 0.3814 x3
3 Ca 0.0000 0.0000 0.7620 x3
4 Rh 0.0015 0.5008 0.8797 x9
5 O 0.0000 0.0000 0.1517 x3
6 O 0.0000 0.0000 0.6110 x3
7 O 0.0324 0.5162 0.1470 x9
8 O 0.1888 0.3775 0.9450 x9



# 5
This record from the Alexandria database describes crystalline Sr2CaRhO5 at its relaxed geometry. The functional is PBE.

Summary:
E = -6.21 eV/atom
uncorrected formation energy = -2.046 eV/atom

Cell: 3.7779 5.8882 11.9017 Å, 90.00 90.00 90.00°
Space group Immm (No. 71)
Inequivalent atoms, fractional coordinates:
1 Sr 0.0000 0.0000 0.2120 x4
2 Ca 0.0000 0.5000 0.0000 x2
3 Rh 0.0000 0.5000 0.5000 x2
4 O 0.0000 0.0000 0.0000 x2
5 O 0.0000 0.2499 0.3769 x8



# 6
This record from the Alexandria database describes crystalline Sr2CaRh3O8 at its relaxed geometry. The functional is PBE.

Summary:
E = -6.40 eV/atom
uncorrected formation energy = -1.609 eV/atom

Cell: 6.5306 6.5306 16.4451 Å, 90.00 90.00 120.00°
Space group R3m (No. 160, hexagonal axes)
Inequivalent atoms, fractional coordinates:
1 Sr 0.0000 0.0000 0.0000 x3
2 Sr 0.0000 0.0000 0.3816 x3
3 Ca 0.0000 0.0000 0.6138 x3
4 Rh 0.1673 0.3347 0.8347 x9
5 O 0.0000 0.0000 0.2296 x3
6 O 0.0000 0.0000 0.7701 x3
7 O 0.0378 0.5189 0.7737 x9
8 O 0.1806 0.3612 0.5632 x9



# 7
This record from the Alexandria database describes crystalline CaTaRhO6 at its relaxed geometry. The functional is PBE.

Summary:
E = -7.61 eV/atom
uncorrected formation energy = -1.951 eV/atom

Cell: 4.8787 4.8787 9.5585 Å, 90.00 90.00 90.00°
Space group P4_2nm (No. 102)
Inequivalent atoms, fractional coordinates:
1 Ca 0.0000 0.0000 0.0000 x2
2 Ta 0.0000 0.0000 0.6635 x2
3 Rh 0.0000 0.0000 0.3270 x2
4 O 0.1738 0.1738 0.4930 x4
5 O 0.2141 0.2141 0.1840 x4
6 O 0.2151 0.2151 0.8056 x4



# 8
This record from the Alexandria database describes crystalline CaTb2RhO5 at its relaxed geometry. The functional is PBE.

Summary:
E = -7.23 eV/atom
uncorrected formation energy = -2.407 eV/atom

Cell: 3.8736 5.6539 11.6943 Å, 90.00 90.00 90.00°
Space group Immm (No. 71)
Inequivalent atoms, fractional coordinates:
1 Ca 0.0000 0.0000 0.0000 x2
2 Tb 0.0000 0.5000 0.2020 x4
3 Rh 0.0000 0.0000 0.5000 x2
4 O 0.0000 0.2471 0.3483 x8
5 O 0.0000 0.5000 0.0000 x2



# 9
This record from the Alexandria database describes crystalline Ca2TeRhO6 at its relaxed geometry. The functional is PBE.

Summary:
E = -6.18 eV/atom
uncorrected formation energy = -1.756 eV/atom

Cell: 5.5412 5.7505 9.5427 Å, 90.00 124.40 90.00°
Space group P2_1/c (No. 14)
Inequivalent atoms, fractional coordinates:
1 Ca 0.2296 0.0599 0.2473 x4
2 Te 0.5000 0.0000 0.0000 x2
3 Rh 0.0000 0.0000 0.5000 x2
4 O 0.1518 0.1938 0.9496 x4
5 O 0.2506 0.7091 0.9423 x4
6 O 0.3613 0.0411 0.7532 x4



# 10
This record from the Alexandria database describes crystalline CaTiRhO6 at its relaxed geometry. The functional is PBE.

Summary:
E = -7.08 eV/atom
uncorrected formation energy = -1.858 eV/atom

Cell: 5.1613 5.1613 5.0786 Å, 90.00 90.00 120.00°
Space group P312 (No. 149)
Inequivalent atoms, fractional coordinates:
1 Ca 0.0000 0.0000 0.0000 x1
2 Ti 0.3333 0.6667 0.5000 x1
3 Rh 0.6667 0.3333 0.5000 x1
4 O 0.3671 0.0018 0.7122 x6



# 11
This record from the Alexandria database describes crystalline Ca2TiRhO6 at its relaxed geometry. The functional is PBE.

Summary:
E = -7.29 eV/atom
uncorrected formation energy = -2.388 eV/atom

Cell: 5.4122 5.5460 9.4116 Å, 90.00 124.94 90.00°
Space group P2_1/c (No. 14)
Inequivalent atoms, fractional coordinates:
1 Ca 0.2380 0.0508 0.2495 x4
2 Ti 0.5000 0.0000 0.0000 x2
3 Rh 0.0000 0.0000 0.5000 x2
4 O 0.1626 0.2022 0.9568 x4
5 O 0.2546 0.7094 0.9547 x4
6 O 0.3382 0.0227 0.7532 x4



# 12
This record from the Alexandria database describes crystalline Ca2TlRhO5 at its relaxed geometry. The functional is PBE.

Summary:
E = -5.94 eV/atom
uncorrected formation energy = -1.664 eV/atom

Cell: 3.3147 13.2641 11.7134 Å, 90.00 90.00 90.00°
Space group Cmc2_1 (No. 36)
Inequivalent atoms, fractional coordinates:
1 Ca 0.0000 0.0651 0.0000 x4
2 Ca 0.0000 0.1615 0.6072 x4
3 Tl 0.0000 0.4503 0.7763 x4
4 Rh 0.0000 0.2507 0.3802 x4
5 O 0.0000 0.1002 0.3974 x4
6 O 0.0000 0.2415 0.0008 x4
7 O 0.0000 0.2639 0.7727 x4
8 O 0.0000 0.4050 0.3770 x4
9 O 0.0000 0.4708 0.1099 x4



# 13
This record from the Alexandria database describes crystalline Ca2TlRh3O8 at its relaxed geometry. The functional is PBE.

Summary:
E = -6.24 eV/atom
uncorrected formation energy = -1.372 eV/atom

Cell: 6.4480 6.4480 16.0973 Å, 90.00 90.00 120.00°
Space group R3m (No. 160, hexagonal axes)
Inequivalent atoms, fractional coordinates:
1 Ca 0.0000 0.0000 0.0000 x3
2 Ca 0.0000 0.0000 0.3754 x3
3 Tl 0.0000 0.0000 0.7630 x3
4 Rh 0.0015 0.5007 0.8797 x9
5 O 0.0000 0.0000 0.1484 x3
6 O 0.0000 0.0000 0.6074 x3
7 O 0.0475 0.5238 0.1454 x9
8 O 0.1818 0.3636 0.9444 x9



# 14
This record from the Alexandria database describes crystalline CaURhO6 at its relaxed geometry. The functional is PBE.

Summary:
E = -7.85 eV/atom
uncorrected formation energy = -2.246 eV/atom

Cell: 5.3932 5.3932 9.3559 Å, 90.00 90.00 120.00°
Space group P-31c (No. 163)
Inequivalent atoms, fractional coordinates:
1 Ca 0.3333 0.6667 0.2500 x2
2 U 0.0000 0.0000 0.0000 x2
3 Rh 0.3333 0.6667 0.7500 x2
4 O 0.0472 0.3450 0.6251 x12



Calculated volume for every record listed, in sequence, given in Å³/cell: 130, 267, 281, 584, 265, 607, 228, 256, 251, 117, 232, 515, 580, 236.